[1]
DFT (GGA-PBE) results for Te4IrAu2 after structural relaxation.

CIF file:
```
data_Te4IrAu2
_chemical_formula_sum 'Te8 Ir2 Au4'
_space_group_name_H-M_alt 'I 4/m m m'
_space_group_IT_number 139
_space_group_name_Hall '-I 4 2'
_cell_length_a 5.4551
_cell_length_b 5.4551
_cell_length_c 13.2144
_cell_angle_alpha 90.00
_cell_angle_beta 90.00
_cell_angle_gamma 90.00
loop_
_atom_site_label
_atom_site_fract_x
_atom_site_fract_y
_atom_site_fract_z
_atom_site_occupancy
Te1 0.0000 0.0000 0.1995 1
Te2 0.0000 0.5000 0.0000 1
Ir1 0.0000 0.0000 0.0000 1
Au1 0.0000 0.0000 0.3984 1
```

Computed properties:
- magnetization (μB per cell) = 0.0
- density of states at the Fermi level (states/eV per cell) = 14.29
- formation energy without anion corrections (eV per atom) = 0.37
- crystal system = tetragonal

[2]
DFT (GGA-PBE) results for TeIrAu after structural relaxation.

CIF file:
```
data_TeIrAu
_chemical_formula_sum 'Te2 Ir2 Au2'
_space_group_name_H-M_alt 'I 4 m m'
_space_group_IT_number 107
_space_group_name_Hall 'I 4 -2'
_cell_length_a 3.5688
_cell_length_b 3.5688
_cell_length_c 9.2968
_cell_angle_alpha 90.00
_cell_angle_beta 90.00
_cell_angle_gamma 90.00
loop_
_atom_site_label
_atom_site_fract_x
_atom_site_fract_y
_atom_site_fract_z
_atom_site_occupancy
Te1 0.0000 0.0000 0.0000 1
Ir1 0.0000 0.0000 0.3935 1
Au1 0.0000 0.0000 0.7057 1
```

Computed properties:
- magnetization (μB per cell) = 0.0
- density of states at the Fermi level (states/eV per cell) = 1.93
- formation energy without anion corrections (eV per atom) = 0.33
- crystal system = tetragonal
- energy above the lowest structure with this stoichiometry (kcal/mol of atoms) = 3.56

[3]
DFT (GGA-PBE) results for TeIrAu after structural relaxation.

CIF file:
```
data_TeIrAu
_chemical_formula_sum 'Te4 Ir4 Au4'
_space_group_name_H-M_alt 'F m m 2'
_space_group_IT_number 42
_space_group_name_Hall 'F 2 -2'
_cell_length_a 3.0042
_cell_length_b 5.2648
_cell_length_c 15.1442
_cell_angle_alpha 90.00
_cell_angle_beta 90.00
_cell_angle_gamma 90.00
loop_
_atom_site_label
_atom_site_fract_x
_atom_site_fract_y
_atom_site_fract_z
_atom_site_occupancy
Te1 0.0000 0.0000 0.0000 1
Ir1 0.0000 0.0000 0.6462 1
Au1 0.0000 0.0000 0.3022 1
```

Computed properties:
- magnetization (μB per cell) = 0.0
- density of states at the Fermi level (states/eV per cell) = 6.68
- formation energy without anion corrections (eV per atom) = 0.54
- crystal system = orthorhombic
- energy above the lowest structure with this stoichiometry (kcal/mol of atoms) = 8.60